1.
Entry from the Alexandria database: crystalline Ca2CoI at its relaxed geometry (PBE).

Values from the calculation:
Energy above the lowest structure with this stoichiometry   0.6 kJ per mole of atoms
Electronic total energy   -3.141 eV per atom
Formation energy without anion corrections   0.024 eV/atom
DOS at the Fermi energy   0.0 states/eV per cell
V   29.909 A^3/atom

a = 7.658 Å, b = 7.658 Å, c = 6.780 Å
α = 55.62°, β = 55.62°, γ = 90.00°
Fractional coordinates of all 8 atoms:
Ca  0.375  0.437  0.750
Co  0.500  0.500  0.000
I  0.000  0.000  0.000
Ca  0.875  0.813  0.750
Ca  0.187  0.625  0.250
Ca  0.563  0.125  0.250
Co  0.250  0.750  0.500
I  0.750  0.250  0.500

=====

2.
Entry from the Alexandria database: crystalline Ca2Co2I at its relaxed geometry (PBE).

Values from the calculation:
Electronic total energy   -3.911 eV per atom
Formation energy without anion corrections   0.042 eV/atom
DOS at the Fermi energy   6.2 states/eV per cell
V   23.517 A^3/atom

a = 7.777 Å, b = 7.777 Å, c = 3.888 Å
α = 90.00°, β = 90.00°, γ = 90.00°
Each line ends with the local moment (μB).
Fractional coordinates of all 10 atoms:
Co  0.099  0.401  0.000  1.52
I  0.500  0.500  0.000  0.02
Co  0.901  0.599  0.000  1.52
Ca  0.675  0.825  0.500  -0.05
Ca  0.325  0.175  0.500  -0.05
I  0.000  0.000  0.000  0.02
Ca  0.175  0.675  0.500  -0.05
Ca  0.825  0.325  0.500  -0.05
Co  0.599  0.099  0.000  1.52
Co  0.401  0.901  0.000  1.52

=====

3.
Entry from the Alexandria database: crystalline CaCo3I at its relaxed geometry (PBE).

Values from the calculation:
Energy above the lowest structure with this stoichiometry   91.0 kJ per mole of atoms
Electronic total energy   -3.148 eV per atom
Formation energy without anion corrections   1.826 eV/atom
DOS at the Fermi energy   6.0 states/eV per cell
V   22.658 A^3/atom

a = 4.839 Å, b = 4.839 Å, c = 4.839 Å
α = 90.00°, β = 90.00°, γ = 90.00°
Each line ends with the local moment (μB).
Fractional coordinates of all 5 atoms:
Ca  0.000  0.000  0.000  -0.19
Co  0.000  0.000  0.500  1.45
I  0.500  0.500  0.500  0.05
Co  0.000  0.500  0.000  1.58
Co  0.500  0.000  0.000  1.41

=====

4.
Entry from the Alexandria database: crystalline CaCo3I at its relaxed geometry (PBE).

Values from the calculation:
Energy above the lowest structure with this stoichiometry   0.0 kJ per mole of atoms
Electronic total energy   -4.092 eV per atom
Formation energy without anion corrections   0.882 eV/atom
DOS at the Fermi energy   6.4 states/eV per cell
V   20.253 A^3/atom

a = 4.661 Å, b = 4.661 Å, c = 4.661 Å
α = 90.00°, β = 90.00°, γ = 90.00°
Each line ends with the local moment (μB).
Fractional coordinates of all 5 atoms:
Co  0.000  0.500  0.000  0.99
Co  0.500  0.000  0.000  0.93
Ca  0.500  0.500  0.500  -0.06
I  0.000  0.000  0.000  -0.03
Co  0.000  0.000  0.500  0.71

=====

5.
Entry from the Alexandria database: crystalline CaCoI3 at its relaxed geometry (PBE).

Values from the calculation:
Energy above the lowest structure with this stoichiometry   35.9 kJ per mole of atoms
Electronic total energy   -2.767 eV per atom
Formation energy without anion corrections   -0.016 eV/atom
DOS at the Fermi energy   2.6 states/eV per cell
V   44.734 A^3/atom

a = 6.070 Å, b = 6.070 Å, c = 6.070 Å
α = 90.00°, β = 90.00°, γ = 90.00°
Each line ends with the local moment (μB).
Fractional coordinates of all 5 atoms:
I  0.000  0.500  0.000  0.02
Ca  0.000  0.000  0.000  0.00
I  0.500  0.000  0.000  0.02
Co  0.500  0.500  0.500  2.42
I  0.000  0.000  0.500  0.01

=====

6.
Entry from the Alexandria database: crystalline CaCoI3 at its relaxed geometry (PBE).

Values from the calculation:
Energy above the lowest structure with this stoichiometry   0.0 kJ per mole of atoms
Electronic total energy   -3.139 eV per atom
Formation energy without anion corrections   -0.388 eV/atom
DOS at the Fermi energy   1.2 states/eV per cell
V   31.884 A^3/atom

a = 5.422 Å, b = 5.422 Å, c = 5.422 Å
α = 90.00°, β = 90.00°, γ = 90.00°
Each line ends with the local moment (μB).
Fractional coordinates of all 5 atoms:
I  0.500  0.000  0.000  0.02
I  0.000  0.500  0.000  0.04
Ca  0.500  0.500  0.500  -0.01
I  0.000  0.000  0.500  0.04
Co  0.000  0.000  0.000  1.71

=====

7.
Entry from the Alexandria database: crystalline CaCoI2 at its relaxed geometry (PBE).

Values from the calculation:
Energy above the lowest structure with this stoichiometry   20.7 kJ per mole of atoms
Electronic total energy   -3.113 eV per atom
Formation energy without anion corrections   -0.061 eV/atom
DOS at the Fermi energy   8.3 states/eV per cell
V   27.268 A^3/atom

a = 5.363 Å, b = 5.363 Å, c = 5.363 Å
α = 60.00°, β = 60.00°, γ = 60.00°
Each line ends with the local moment (μB).
Fractional coordinates of all 4 atoms:
I  0.750  0.750  0.750  0.05
Ca  0.000  0.000  0.000  0.00
I  0.250  0.250  0.250  0.05
Co  0.500  0.500  0.500  1.92

=====

8.
Entry from the Alexandria database: crystalline Ca2CoI at its relaxed geometry (PBE).

Values from the calculation:
Energy above the lowest structure with this stoichiometry   0.0 kJ per mole of atoms
Electronic total energy   -3.147 eV per atom
Formation energy without anion corrections   0.017 eV/atom
DOS at the Fermi energy   3.9 states/eV per cell
V   26.569 A^3/atom

a = 5.317 Å, b = 5.317 Å, c = 5.317 Å
α = 60.00°, β = 60.00°, γ = 60.00°
Each line ends with the local moment (μB).
Fractional coordinates of all 4 atoms:
I  0.500  0.500  0.500  0.00
Co  0.000  0.000  0.000  1.33
Ca  0.750  0.750  0.750  -0.12
Ca  0.250  0.250  0.250  -0.12